No. 1
The following is a DFT calculation (PBE) of KRbZn2BiAs after structural relaxation.

```
6
Lattice="4.534 0.000 0.000 -2.267 3.926 0.000 0.000 0.000 10.833" Properties=species:S:1:pos:R:3 pbc="T T T"
K 0.000 0.000 0.000
Rb 0.000 0.000 5.709
Zn 0.000 2.618 2.779
Zn 2.267 1.309 8.353
Bi 2.267 1.309 2.765
As 0.000 2.618 8.332
```


No. 2
The following is a DFT calculation (PBE) of NbInCoHg after structural relaxation.

Results
For the energy above the most stable polymorph in this dataset, the calculation gives 0 meV per atom.

```
4
Lattice="0.000 3.280 3.280 3.280 0.000 3.280 3.280 3.280 0.000" Properties=species:S:1:pos:R:3 pbc="T T T"
Nb 0.000 0.000 0.000
In 3.280 3.280 3.280
Co 4.919 4.919 4.919
Hg 1.640 1.640 1.640
```


No. 3
The following is a DFT calculation (PBE) of RbLiZnS2 after structural relaxation.

```
5
Lattice="-2.004 2.004 6.846 2.004 -2.004 6.846 2.004 2.004 -6.846" Properties=species:S:1:pos:R:3 pbc="T T T"
Rb 0.000 0.000 0.000
Li 2.004 0.000 3.423
Zn 0.000 2.004 3.423
S 0.000 0.000 4.760
S 0.000 0.000 8.932
```


No. 4
The following is a DFT calculation (PBE) of Tb2PdPt after structural relaxation.

Results
The formation energy comes out at -4.3 eV/f.u.

```
8
Lattice="4.230 0.000 0.000 0.000 5.732 0.000 0.000 0.000 7.376" Properties=species:S:1:pos:R:3 pbc="T T T"
Tb 0.000 0.621 0.000
Tb 0.000 5.110 3.688
Tb 2.115 2.206 2.651
Tb 2.115 3.526 6.339
Pd 0.000 2.331 4.683
Pd 0.000 3.401 0.995
Pt 2.115 0.556 5.355
Pt 2.115 5.176 1.667
```


no.,volume (A^3/atom),raw total energy (eV/atom)
1,32.14,-2.5486
2,17.64,-4.6795
3,21.99,-3.6103
4,22.35,-6.2058